Computed, not measured: a relaxed structure of Y2MgSc at the PBEsol level of DFT.

Results
- Space-group type: No. 8
- Total magnetization: 0.00 Bohr magnetons per cell
- ρ: 3.81 g cm⁻³
- Total energy: -5.505 eV/atom
- Energy of formation from the pure elements: -0.013 eV/atom

Unit cell a=12.2132 b=3.6838 c=5.2960 alpha=90.00 beta=115.46 gamma=90.00
Fractional coordinates of all 8 atoms:
Y 0.0000 0.0000 0.0000
Y 0.2226 0.0000 0.7185
Y 0.5000 0.5000 0.0000
Y 0.7226 0.5000 0.7185
Mg 0.4842 0.0000 0.4847
Mg 0.9842 0.5000 0.4847
Sc 0.2651 0.5000 0.2603
Sc 0.7651 0.0000 0.2603